Record 1
DySc5Pt6 (PBE, optimized geometry); energy relative to the elements = -118.3 kJ/mol of atoms; space-group type = P2/m
1.0
-4.1037 2.2709 -0.8028
-5.3570 -5.1613 -1.1560
-1.3009 -0.0852 6.4085
Sc Pt Dy
5 6 1
direct
0.6657 0.6683 0.5000
0.3323 0.3359 0.0000
0.0000 0.0000 0.5000
0.6677 0.6641 0.0000
0.3343 0.3317 0.5000
0.8276 0.3459 0.2539
0.8275 0.3459 0.7461
0.5000 0.0000 0.7368
0.5000 0.0000 0.2632
0.1725 0.6541 0.2539
0.1724 0.6541 0.7461
0.0000 0.0000 0.0000

Record 2
Dy2ScSi3Pt4 (PBE, optimized geometry); E_form (uncorrected) = -1106 meV per atom; space-group type = P-4m2
1.0
4.1191 0.0000 0.0000
0.0000 4.1191 0.0000
0.0000 0.0000 10.8123
Dy Sc Si Pt
2 1 3 4
direct
0.5000 0.0000 0.2314
0.0000 0.5000 0.7686
0.5000 0.5000 0.5000
0.0000 0.0000 0.5000
0.5000 0.0000 0.8708
0.0000 0.5000 0.1292
0.5000 0.5000 0.0000
0.0000 0.0000 0.0000
0.5000 0.0000 0.6515
0.0000 0.5000 0.3485

Record 3
DyScSnPt (PBE, optimized geometry); energy relative to the elements = -79.5 kJ/mol of atoms; space-group type = F-43m
1.0
-1.0672 0.0804 4.8931
-3.9414 -2.5505 1.7459
0.7059 -4.1028 2.7850
Sc Sn Pt Dy
1 1 1 1
direct
0.5000 0.5000 0.5000
0.2500 0.2500 0.2500
0.7500 0.7500 0.7500
0.0000 0.0000 0.0000

Record 4
DyScTcPt (PBE, optimized geometry); energy relative to the elements = -59.7 kJ/mol of atoms; space-group type = F-43m
1.0
-3.4594 -3.2206 0.3128
-1.2026 -2.5607 -3.7992
1.0408 -4.6179 -0.1699
Sc Tc Pt Dy
1 1 1 1
direct
0.7500 0.7500 0.7500
0.0000 0.0000 0.0000
0.5000 0.5000 0.5000
0.2500 0.2500 0.2500

Record 5
DyYScPt (PBE, optimized geometry); energy relative to the elements = -36.2 kJ/mol of atoms; space-group type = F-43m
1.0
5.1014 0.0000 0.0000
2.5507 4.4180 0.0000
2.5507 1.4727 4.1653
Y Sc Pt Dy
1 1 1 1
direct
0.2500 0.2500 0.2500
0.5000 0.5000 0.5000
0.0000 0.0000 0.0000
0.7500 0.7500 0.7500

Record 6
DySc2ZnPt4 (PBE, optimized geometry); energy relative to the elements = -101.9 kJ/mol of atoms; space-group type = R-3m
1.0
4.5888 0.0000 0.0000
2.2944 3.9740 0.0000
2.2944 1.3247 8.0264
Dy Sc Zn Pt
1 2 1 4
direct
0.0000 0.0000 0.0000
0.7591 0.7591 0.7226
0.2409 0.2409 0.2774
0.5000 0.5000 0.5000
0.3906 0.3906 0.8282
0.8744 0.8744 0.3768
0.1256 0.1256 0.6232
0.6094 0.6094 0.1718

Record 7
Dy6PtSe5 (PBE, optimized geometry); E_form (uncorrected) = -1701 meV per atom; space-group type = C2/m
1.0
-5.7026 1.6571 -3.9183
-0.8158 -3.3409 6.2283
1.7660 6.4587 2.3309
Se Pt Dy
5 1 6
direct
0.8256 0.1744 0.5000
0.6653 0.3347 0.0000
0.5000 0.5000 0.5000
0.3347 0.6653 0.0000
0.1744 0.8256 0.5000
0.0000 0.0000 0.0000
0.3999 0.0782 0.2394
0.9218 0.6001 0.7606
0.2402 0.2402 0.7557
0.7598 0.7598 0.2443
0.0782 0.3999 0.2394
0.6001 0.9218 0.7606

Record 8
DyPtSe2 (PBE, optimized geometry); E_form (uncorrected) = -365 meV per atom; space-group type = R-3m
1.0
-1.5799 3.2791 1.0341
-3.4897 0.8722 -1.1745
-4.8859 -2.2903 6.7208
Se Pt Dy
2 1 1
direct
0.1133 0.1133 0.6601
0.8867 0.8867 0.3399
0.5000 0.5000 0.5000
0.0000 0.0000 0.0000

Record 9
Dy4PtSe3 (PBE, optimized geometry); ΔE to the lowest computed polymorph = 0.0 meV/atom; E_form (uncorrected) = -1633 meV per atom; space-group type = Cmmm
1.0
4.0172 0.0000 0.0000
0.0000 6.8039 -2.2956
0.0000 -0.0334 7.1807
Se Pt Dy
3 1 4
direct
0.0000 0.0000 0.5000
0.5000 0.5000 0.5000
0.0000 0.5000 0.0000
0.5000 0.0000 0.0000
0.0000 0.2326 0.2326
0.5000 0.7551 0.2449
0.0000 0.7674 0.7674
0.5000 0.2449 0.7551

Record 10
Dy4PtSe3 (PBE, optimized geometry); ΔE to the lowest computed polymorph = 59.9 meV/atom; E_form (uncorrected) = -1573 meV per atom; space-group type = Pm-3m
1.0
5.7881 0.0000 0.0000
0.0000 5.7881 0.0000
0.0000 0.0000 5.7881
Dy Pt Se
4 1 3
direct
0.5000 0.0000 0.0000
0.0000 0.5000 0.0000
0.0000 0.0000 0.5000
0.5000 0.5000 0.5000
0.0000 0.0000 0.0000
0.0000 0.5000 0.5000
0.5000 0.0000 0.5000
0.5000 0.5000 0.0000

Record 11
Dy7PtSe5 (PBE, optimized geometry); E_form (uncorrected) = -1577 meV per atom; space-group type = Cmc2_1
1.0
3.9707 0.0000 0.0000
-1.9853 6.6974 0.0080
0.0000 -0.0267 24.3811
Dy Pt Se
14 2 10
direct
0.4589 0.9177 0.2499
0.5417 0.0833 0.7499
0.6398 0.2795 0.0383
0.3624 0.7248 0.9618
0.3608 0.7216 0.5384
0.6382 0.2764 0.4618
0.2053 0.4106 0.1807
0.7965 0.5930 0.8193
0.7952 0.5903 0.6808
0.2042 0.4083 0.3192
0.9125 0.8250 0.1154
0.0899 0.1799 0.8840
0.0879 0.1759 0.6154
0.9108 0.8216 0.3841
0.8062 0.6124 0.2503
0.1944 0.3887 0.7505
0.0013 0.0026 0.9998
0.7215 0.4429 0.9293
0.2806 0.5612 0.0708
0.5560 0.1120 0.3557
0.4433 0.8865 0.6444
0.9993 0.9986 0.4999
0.2791 0.5583 0.4293
0.7199 0.4399 0.5708
0.4446 0.8892 0.8557
0.5572 0.1144 0.1444

Record 12
Dy8Te4PtSe3 (PBE, optimized geometry); E_form (uncorrected) = -1493 meV per atom; space-group type = R-3m
1.0
-7.5912 -3.0981 -1.9478
3.6481 -5.5587 -5.3763
2.5092 0.2581 8.0406
Dy Te Pt Se
8 4 1 3
direct
0.2317 0.7175 0.9859
0.2317 0.7175 0.4634
0.2594 0.2783 0.5188
0.7542 0.7175 0.9859
0.2458 0.2825 0.0141
0.7406 0.7217 0.4812
0.7683 0.2825 0.5366
0.7683 0.2825 0.0141
0.5000 0.0000 0.0000
0.5000 0.0000 0.5000
0.0000 0.0000 0.0000
0.0000 0.0000 0.5000
0.0000 0.5000 0.0000
0.5000 0.5000 0.0000
0.5000 0.5000 0.5000
0.0000 0.5000 0.5000

Record 13
Dy4Te2PtSe (PBE, optimized geometry); E_form (uncorrected) = -1424 meV per atom; space-group type = P2/m
1.0
-1.8904 1.4651 -3.3696
4.8412 -3.6343 -4.2962
-5.8587 -4.4923 1.3335
Dy Te Pt Se
4 2 1 1
direct
0.5000 0.2489 0.2231
0.5000 0.7511 0.7769
0.0000 0.2788 0.7899
0.0000 0.7212 0.2101
0.5000 0.0000 0.5000
0.0000 0.5000 0.5000
0.5000 0.5000 0.0000
0.0000 0.0000 0.0000

Record 14
Dy6Te3PtSe2 (PBE, optimized geometry); E_form (uncorrected) = -1470 meV per atom; space-group type = C2/m
1.0
4.1386 0.0000 0.0000
0.0000 8.6666 0.2476
-2.0693 -2.5584 8.9724
Dy Te Pt Se
6 3 1 2
direct
0.3440 0.9066 0.6880
0.6716 0.5677 0.3432
0.6560 0.0934 0.3120
0.0022 0.2183 0.0044
0.9978 0.7817 0.9956
0.3284 0.4323 0.6568
0.5000 0.5000 0.0000
0.8281 0.1688 0.6562
0.1719 0.8312 0.3438
0.5000 0.0000 0.0000
0.8321 0.6639 0.6641
0.1679 0.3361 0.3359

Record 15
Dy6TePt2Se3 (PBE, optimized geometry); E_form (uncorrected) = -1503 meV per atom; space-group type = C2/m
1.0
-2.1329 3.2673 1.1442
-6.9123 -4.8479 0.9581
5.3210 -1.7107 7.5786
Dy Te Pt Se
6 1 2 3
direct
0.3235 0.8764 0.6470
0.6676 0.5847 0.3352
0.6765 0.1236 0.3530
0.0118 0.2720 0.0237
0.9882 0.7280 0.9763
0.3324 0.4153 0.6648
0.5000 0.0000 0.0000
0.8280 0.6469 0.6560
0.1720 0.3531 0.3440
0.5000 0.5000 0.0000
0.8415 0.1514 0.6830
0.1585 0.8486 0.3170

Record 16
Dy8Te3Pt3Se (PBE, optimized geometry); E_form (uncorrected) = -1213 meV per atom; space-group type = R-3m
1.0
8.3152 0.0000 0.0000
-4.1576 7.2009 -0.0256
0.0000 -4.7757 7.1153
Dy Te Pt Se
8 3 3 1
direct
0.2636 0.5273 0.2906
0.7364 0.4727 0.7094
0.7506 0.5012 0.2786
0.2494 0.4988 0.7214
0.7506 0.0276 0.2783
0.2494 0.9724 0.7217
0.2770 0.0276 0.2783
0.7230 0.9724 0.7217
0.0000 0.0000 0.0000
0.0000 0.5000 0.0000
0.5000 0.5000 0.0000
0.5000 0.0000 0.5000
0.5000 0.5000 0.5000
0.0000 0.5000 0.5000
0.0000 0.0000 0.5000

Record 17
DyThPtSe (PBE, optimized geometry); E_form (uncorrected) = -1333 meV per atom; space-group type = R3m
1.0
3.9902 -0.0019 -0.0006
-1.9959 3.4583 0.0000
-1.9945 -1.1518 7.5286
Dy Th Pt Se
1 1 1 1
direct
0.9715 0.3839 0.3705
0.2949 0.5453 0.8555
0.4708 0.1333 0.6197
0.1406 0.9683 0.1239

Record 18
Dy6TlPt2Se3 (PBE, optimized geometry); E_form (uncorrected) = -1324 meV per atom; space-group type = C2/m
1.0
3.9972 0.0000 0.0000
0.0000 8.6337 -0.3157
-1.9986 -3.1358 8.9075
Dy Tl Pt Se
6 1 2 3
direct
0.3268 0.9166 0.6537
0.6775 0.5564 0.3550
0.6732 0.0834 0.3463
0.9960 0.2670 0.9920
0.0040 0.7330 0.0080
0.3225 0.4436 0.6450
0.5000 0.0000 0.0000
0.8432 0.6940 0.6864
0.1568 0.3060 0.3136
0.5000 0.5000 0.0000
0.8334 0.1805 0.6669
0.1666 0.8195 0.3331

Record 19
Dy3Si4Pt7 (PBE, optimized geometry); E_form (uncorrected) = -1115 meV per atom; space-group type = C2/m
1.0
-0.0152 -0.8390 3.9447
6.8037 -4.0163 1.2337
5.7159 5.1411 3.1771
Dy Si Pt
3 4 7
direct
0.3280 0.1747 0.1692
0.6720 0.8253 0.8308
0.0000 0.5000 0.5000
0.6685 0.4353 0.2278
0.3315 0.5647 0.7722
0.8890 0.8967 0.3252
0.1110 0.1033 0.6748
0.3047 0.8473 0.5432
0.4919 0.2499 0.7662
0.8313 0.4186 0.9188
0.6953 0.1527 0.4568
0.1687 0.5814 0.0812
0.0000 0.0000 0.0000
0.5081 0.7501 0.2338

Record 20
DySi4Pt12 (PBE, optimized geometry); E_form (uncorrected) = -475 meV per atom; space-group type = Im-3
1.0
-2.6293 -6.1075 -2.9456
4.3209 3.3421 -4.8012
3.8183 -1.6361 5.9695
Dy Si Pt
1 4 12
direct
0.0000 0.0000 0.0000
0.0000 0.5000 0.0000
0.5000 0.0000 0.0000
0.5000 0.5000 0.5000
0.0000 0.0000 0.5000
0.8387 0.3395 0.1781
0.3395 0.5008 0.1613
0.8219 0.1613 0.6605
0.3395 0.1781 0.8387
0.1781 0.8387 0.3395
0.6605 0.4992 0.8387
0.5008 0.1613 0.3395
0.4992 0.8387 0.6605
0.6605 0.8219 0.1613
0.8387 0.6605 0.4992
0.1613 0.3395 0.5008
0.1613 0.6605 0.8219

no.,theoretical density (kg/m³)
1,11624
2,11174
3,9741
4,11060
5,8693
6,12459
7,8878
8,8280
9,9169
10,9265
11,8848
12,8611
13,8978
14,8756
15,9394
16,9170
17,10690
18,9885
19,13539
20,14670